Entry from Alexandria via LeMat-Bulk: a relaxed AcTl2P2S6 crystal (PBE-GGA).

a = 7.1631 Å, b = 7.1631 Å, c = 9.2213 Å
α = 123.32°, β = 123.32°, γ = 59.90°
Closest atoms and distances in Å follow each position.
Fractional positions:
Ac (0.0000, 0.0000, 0.0000)  6 S 2.98
Tl (0.2079, 0.2079, 0.6827)  4 S 3.22-3.46, 1 P 3.42
Tl (0.7921, 0.7921, 0.3173)  4 S 3.22-3.46, 1 P 3.42
P (0.4187, 0.4187, 0.1620)  3 S 2.07-2.09
P (0.5813, 0.5813, 0.8380)  3 S 2.07-2.09
S (0.2167, 0.6750, 0.7152)  1 P 2.09
S (0.3104, 0.3104, 0.2633)  1 P 2.07
S (0.3250, 0.7833, 0.2848)  1 P 2.09
S (0.6750, 0.2167, 0.7152)  1 P 2.09
S (0.6896, 0.6896, 0.7367)  1 P 2.07
S (0.7833, 0.3250, 0.2848)  1 P 2.09

Calculated density   4.67 g cm⁻³
ΔE_f (raw)   -0.624 eV per atom
Final energy   -4.6627 eV per atom